Entry 1:
DFT (PBE-GGA) results for CdAg3Au after structural relaxation.

The structure in extended XYZ format:
```
5
Lattice="5.171 0.000 0.000 0.000 5.171 0.000 0.000 0.000 5.171" Properties=species:S:1:pos:R:3 pbc="T T T"
Cd 2.585 2.585 2.585
Ag 0.000 0.000 2.585
Au 0.000 0.000 0.000
Ag 0.000 2.585 0.000
Ag 2.585 0.000 0.000
```

offset from the most stable computed form: 0.615 eV per atom
ΔE_f: 0.55 eV/atom
volume: 138.2 Å³/f.u.
symmetry: Pm-3m

Entry 2:
DFT (PBE-GGA) results for DyAgIr4 after structural relaxation.

The structure in extended XYZ format:
```
6
Lattice="-3.346 -3.472 2.176 0.747 -1.631 4.977 -3.313 1.556 3.819" Properties=species:S:1:pos:R:3 pbc="T T T"
Ir -2.021 -0.479 5.770
Ir -3.697 -2.218 6.859
Dy -1.478 -0.887 2.743
Ir -4.071 -1.401 4.367
Ir -2.037 -2.997 4.947
Ag 0.000 0.000 0.000
```

ΔE_f: -0.27 eV/atom
volume: 104.7 Å³/f.u.
symmetry: F-43m

Entry 3:
DFT (PBE-GGA) results for TaAgAu2 after structural relaxation.

The structure in extended XYZ format:
```
4
Lattice="2.836 0.000 0.000 0.000 4.189 0.000 0.000 0.000 6.011" Properties=species:S:1:pos:R:3 pbc="T T T"
Au 1.418 2.094 1.606
Ag 1.418 2.094 4.520
Au 0.000 0.000 5.957
Ta 0.000 0.000 2.944
```

ΔE_f: 0.12 eV/atom
volume: 71.4 Å³/f.u.
symmetry: Pmm2

Entry 4:
DFT (PBE-GGA) results for Nb2CrTe6 after structural relaxation.

The structure in extended XYZ format:
```
9
Lattice="-2.248 -2.542 -1.253 5.933 -0.298 -4.819 2.196 -5.554 7.330" Properties=species:S:1:pos:R:3 pbc="T T T"
Te 4.454 -3.653 -0.580
Te 0.900 -2.691 -1.377
Te 3.810 -3.855 -4.239
Te 1.427 -4.741 1.839
Nb 2.586 -6.678 3.689
Te 4.981 -5.704 2.636
Nb 3.295 -1.716 -2.430
Cr -1.150 -5.319 2.412
Te 2.071 -4.540 5.498
```

energy relative to the elements, uncorrected: -33 kJ/mol of atoms
offset from the most stable computed form: 0.000 eV per atom
volume: 243.0 Å³/f.u.
symmetry: C2/m

Entry 5:
DFT (PBE-GGA) results for BaSrCl after structural relaxation.

The structure in extended XYZ format:
```
3
Lattice="5.579 0.000 0.000 2.790 4.832 0.000 2.790 1.611 4.555" Properties=species:S:1:pos:R:3 pbc="T T T"
Cl 8.369 4.832 3.417
Sr 0.000 0.000 0.000
Ba 5.579 3.221 2.278
```

energy relative to the elements, uncorrected: -74 kJ/mol of atoms
offset from the most stable computed form: 0.352 eV per atom
volume: 122.8 Å³/f.u.
symmetry: F-43m

Entry 6:
DFT (PBE-GGA) results for TbHoW2N6 after structural relaxation.

The structure in extended XYZ format:
```
20
Lattice="6.320 0.055 0.057 2.088 7.083 0.414 2.088 0.151 7.094" Properties=species:S:1:pos:R:3 pbc="T T T"
N 7.297 2.713 2.618
W 4.729 5.763 4.749
N 2.631 1.584 0.119
N 5.790 0.088 1.616
Ho 6.827 5.136 2.374
W 7.888 4.559 5.964
Ho 3.668 2.154 5.192
N 2.542 4.456 1.090
N 7.865 5.706 7.446
W 5.767 1.527 2.817
N 4.137 2.488 2.780
N 4.705 7.202 5.949
Tb 3.668 6.463 1.039
N 7.953 2.834 6.476
Tb 6.827 0.827 6.526
N 6.358 4.802 4.786
N 3.199 4.577 4.948
W 2.607 2.731 1.602
N 4.794 6.339 3.043
N 5.702 0.951 4.522
```

energy relative to the elements, uncorrected: -97 kJ/mol of atoms
volume: 157.8 Å³/f.u.
symmetry: C2/c